A plane-wave DFT calculation with PBE+U was carried out for an optimized crystal structure of Mg2CoNiO4.

Structure (CIF):
```
data_Mg2CoNiO4
_cell_length_a 6.024
_cell_length_b 6.036
_cell_length_c 8.482
_cell_angle_alpha 90.00
_cell_angle_beta 90.00
_cell_angle_gamma 90.00
_symmetry_space_group_name_H-M 'F 2 2 2'
_symmetry_Int_Tables_number 22
_symmetry_space_group_name_Hall 'F 2 2'
loop_
_atom_site_label
_atom_site_type_symbol
_atom_site_fract_x
_atom_site_fract_y
_atom_site_fract_z
_atom_site_occupancy
Mg1 Mg 0.000 0.000 0.000 1
Mg2 Mg 0.250 0.250 0.250 1
Co1 Co 0.250 0.250 0.750 1
Ni1 Ni 0.000 0.000 0.500 1
O1 O 0.000 0.000 0.249 1
O2 O 0.250 0.250 0.002 1
```

Results
* total magnetization: 5.00 μB per formula unit
* theoretical density: 4.96 Mg/m³
* DOS(E_F): 0.0000 states/eV/atom
* VASP energy: -5.708 eV/atom